1.
The following is a PBE calculation of a geometry-optimized CsPuAlF6 structure, from Alexandria via LeMat-Bulk.

Its formation energy without anion corrections is -314.17 kJ per mole of atoms. The value obtained for the total magnetization is 6.00 μB per formula unit. As for the uncorrected energy: -237.85 eV for the cell shown.

The structure belongs to space group Imma (No. 74); the cell edges are 7.431, 7.591 and 10.991 Å and the angles 90.00°, 90.00° and 90.00°. Symmetry generates all atoms from Cs at (0.000, 0.250, 0.151), Pu at (0.250, 0.250, 0.750), Al at (0.000, 0.000, 0.500), F at (0.000, 0.250, 0.507), F at (0.000, 0.250, 0.889) and F at (0.172, 0.007, 0.382).

2.
The following is a PBE calculation of a geometry-optimized Cs3Rb3AlF8 structure, from Alexandria via LeMat-Bulk.

Its formation energy without anion corrections is -267.89 kJ per mole of atoms. The value obtained for the total magnetization is 0.56 μB per formula unit. As for the uncorrected energy: -197.47 eV for the cell shown.

The structure belongs to space group R-3m (No. 166, hexagonal axes); the cell edges are 8.0676, 8.0676 and 20.4809 Å and the angles 90.00°, 90.00° and 120.00°. Symmetry generates all atoms from Cs at (0.0000, 0.5000, 0.0000), Rb at (0.0000, 0.5000, 0.5000), Al at (0.0000, 0.0000, 0.5000), F at (0.0000, 0.0000, 0.2433) and F at (0.1091, 0.2181, 0.5520).

3.
The following is a PBE calculation of a geometry-optimized CsRb2AlF structure, from Alexandria via LeMat-Bulk.

Its formation energy without anion corrections is 18.41 kJ per mole of atoms. The value obtained for the total magnetization is 2.04 μB per formula unit. As for the uncorrected energy: -7.45 eV for the cell shown.

The structure belongs to space group P4/mmm (No. 123); the cell edges are 8.119, 8.119 and 6.380 Å and the angles 90.00°, 90.00° and 90.00°. Symmetry generates all atoms from Cs at (0.000, 0.000, 0.000), Rb at (0.000, 0.500, 0.000), Al at (0.000, 0.000, 0.500) and F at (0.500, 0.500, 0.500).